Computed, not measured: RbLaTa2 after structural relaxation at the PBE level of DFT.

The volume comes out at 104 Å³/cell. For the density of states at the Fermi level, the calculation gives 1.09 states/eV/atom. As for the total energy: -22.20 eV per cell. Its energy above the most stable polymorph in this dataset is 0.2940 eV/atom. The value obtained for the formation energy is 1.85 eV per atom.

Cell: 5.278 5.278 5.278 Å, 60.00 60.00 60.00°
Fractional coordinates of all 4 atoms:
Ta  0.750  0.750  0.750
Ta  0.250  0.250  0.250
La  0.500  0.500  0.500
Rb  0.000  0.000  0.000

=====

Computed, not measured: SbMo2Ir after structural relaxation at the PBE level of DFT.

The volume comes out at 66 Å³/cell. The calculation puts the formation energy without anion corrections at 2.30 kcal/mol of atoms. For the density of states at the Fermi level, the calculation gives 0.92 states/eV/atom. As for the total energy: -34.25 eV per cell.

Cell: 5.113 5.113 5.113 Å, 134.98 135.00 65.55°
Fractional coordinates of all 4 atoms:
Sb  0.750  0.250  0.500
Mo  0.000  0.000  0.000
Mo  0.500  0.500  0.000
Ir  0.250  0.750  0.500

=====

Computed, not measured: AgPPbCl2 after structural relaxation at the PBE level of DFT.

The volume comes out at 175 Å³/cell. The calculation puts the formation energy without anion corrections at 6.00 kcal/mol of atoms. For the density of states at the Fermi level, the calculation gives 0.57 states/eV/atom. As for the total energy: -14.36 eV per cell. Its energy above the most stable polymorph in this dataset is 0.1721 eV/atom.

Cell: 5.553 5.553 5.682 Å, 90.00 90.00 90.00°
Each line ends with the local moment (μB).
Fractional coordinates of all 5 atoms:
P  0.000  0.000  0.500  0.64
Ag  0.500  0.500  0.500  -0.04
Cl  0.000  0.500  0.000  0.03
Cl  0.500  0.000  0.000  0.03
Pb  0.000  0.000  0.000  0.03

=====

Which value of volume does entry 1 give?
104 Å³/cell

=====

What is the formula in the first record?
RbLaTa2